Entry 1:
A geometry-optimized Zr6Ir5Pd structure. Source: Alexandria via LeMat-Bulk, functional PBE.

Geometry as POSCAR:
```
Zr6Ir5Pd
1.0
4.661 0.000 0.000
0.000 6.751 0.000
-1.604 0.000 6.942
Zr Ir Pd
6 5 1
Direct
0.000 0.247 0.000
0.000 0.753 0.000
0.327 0.249 0.666
0.327 0.751 0.666
0.673 0.249 0.334
0.673 0.751 0.334
0.173 0.500 0.330
0.176 0.000 0.339
0.500 0.000 0.000
0.824 0.000 0.661
0.827 0.500 0.670
0.500 0.500 0.000
```

Its formation energy from the elements is -0.764 eV per atom. The final energy is -9.1632 eV/atom.

Entry 2:
A geometry-optimized Ca2Sc structure. Source: Alexandria via LeMat-Bulk, functional PBE.

Geometry as POSCAR:
```
Ca2Sc
1.0
5.804 0.000 0.000
0.000 5.804 0.000
0.000 0.000 3.679
Ca Sc
2 1
Direct
0.000 0.500 0.000
0.500 0.000 0.000
0.000 0.000 0.500
```

Its formation energy from the elements is 0.470 eV per atom. Its energy above the most stable polymorph in this dataset is 324 meV/atom. The final energy is -2.9754 eV/atom.

Entry 3:
A geometry-optimized CdSnP2O structure. Source: Alexandria via LeMat-Bulk, functional PBE.

Geometry as POSCAR:
```
CdSnP2O
1.0
5.084 0.000 0.000
0.000 5.084 0.000
0.000 0.000 4.054
Cd Sn P O
1 1 2 1
Direct
0.000 0.000 0.000
0.500 0.500 0.500
0.000 0.500 0.000
0.500 0.000 0.000
0.000 0.000 0.500
```

Its energy above the most stable polymorph in this dataset is 310 meV/atom. The final energy is -3.4810 eV/atom. The calculation puts the formation energy (no corrections) at 3.3 eV/f.u.

Q: Among the records above, which one has the lowest final energy?
A: Zr6Ir5Pd